No. 1
The following is a DFT calculation (GGA-PBE) of an optimized crystal structure of Nd2HgRh.

Structure (CIF):
```
data_Nd2HgRh
_chemical_formula_sum 'Nd8 Hg4 Rh4'
_space_group_name_H-M_alt 'F m -3 m'
_space_group_IT_number 225
_space_group_name_Hall '-F 4 2 3'
_cell_length_a 7.3830
_cell_length_b 7.3830
_cell_length_c 7.3830
_cell_angle_alpha 90.00
_cell_angle_beta 90.00
_cell_angle_gamma 90.00
loop_
_atom_site_label
_atom_site_fract_x
_atom_site_fract_y
_atom_site_fract_z
Nd1 0.2500 0.2500 0.2500
Hg1 0.0000 0.0000 0.0000
Rh1 0.0000 0.0000 0.5000
```

Calculated values
Formation enthalpy at 0 K   -49 kJ/mol of atoms
Offset from the most stable computed form   60.9 meV per atom

=====

No. 2
The following is a DFT calculation (GGA-PBE) of an optimized crystal structure of Nd6HgRh3.

Structure (CIF):
```
data_Nd6HgRh3
_chemical_formula_sum 'Nd24 Hg4 Rh12'
_space_group_name_H-M_alt 'C m c 21'
_space_group_IT_number 36
_space_group_name_Hall 'C 2c -2'
_cell_length_a 11.0462
_cell_length_b 14.2124
_cell_length_c 7.4683
_cell_angle_alpha 90.00
_cell_angle_beta 90.00
_cell_angle_gamma 90.00
loop_
_atom_site_label
_atom_site_fract_x
_atom_site_fract_y
_atom_site_fract_z
Nd1 0.0000 0.0145 0.0000
Nd2 0.0000 0.2242 0.6800
Nd3 0.1667 0.4674 0.6078
Nd4 0.1899 0.2827 0.0315
Hg1 0.0000 0.1820 0.2784
Rh1 0.0000 0.4012 0.8842
Rh2 0.1899 0.1077 0.8023
```

Calculated values
Formation enthalpy at 0 K   -43 kJ/mol of atoms
Offset from the most stable computed form   82.0 meV per atom

=====

No. 3
The following is a DFT calculation (GGA-PBE) of an optimized crystal structure of Nd8Hg2Rh3.

Structure (CIF):
```
data_Nd8Hg2Rh3
_chemical_formula_sum 'Nd8 Hg2 Rh3'
_space_group_name_H-M_alt 'P 1 2/m 1'
_space_group_IT_number 10
_space_group_name_Hall '-P 2y'
_cell_length_a 8.9381
_cell_length_b 5.0888
_cell_length_c 8.9447
_cell_angle_alpha 90.00
_cell_angle_beta 110.14
_cell_angle_gamma 90.00
loop_
_atom_site_label
_atom_site_fract_x
_atom_site_fract_y
_atom_site_fract_z
Nd1 0.1150 0.0000 0.3839
Nd2 0.1314 0.5000 0.8619
Nd3 0.3611 0.5000 0.6299
Nd4 0.3853 0.0000 0.1159
Hg1 0.2564 0.5000 0.2435
Rh1 0.0000 0.5000 0.5000
Rh2 0.2563 0.0000 0.7562
```

Calculated values
Formation enthalpy at 0 K   -37 kJ/mol of atoms

=====

No. 4
The following is a DFT calculation (GGA-PBE) of an optimized crystal structure of NdHg2Rh.

Structure (CIF):
```
data_NdHg2Rh
_chemical_formula_sum 'Nd4 Hg8 Rh4'
_space_group_name_H-M_alt 'F m -3 m'
_space_group_IT_number 225
_space_group_name_Hall '-F 4 2 3'
_cell_length_a 7.0792
_cell_length_b 7.0792
_cell_length_c 7.0792
_cell_angle_alpha 90.00
_cell_angle_beta 90.00
_cell_angle_gamma 90.00
loop_
_atom_site_label
_atom_site_fract_x
_atom_site_fract_y
_atom_site_fract_z
Nd1 0.0000 0.0000 0.0000
Hg1 0.2500 0.2500 0.2500
Rh1 0.0000 0.0000 0.5000
```

Calculated values
Formation enthalpy at 0 K   -24 kJ/mol of atoms

=====

No. 5
The following is a DFT calculation (GGA-PBE) of an optimized crystal structure of Nd5HgRh4.

Structure (CIF):
```
data_Nd5HgRh4
_chemical_formula_sum 'Nd5 Hg1 Rh4'
_space_group_name_H-M_alt 'P 4/m m m'
_space_group_IT_number 123
_space_group_name_Hall '-P 4 2'
_cell_length_a 3.5949
_cell_length_b 3.5949
_cell_length_c 18.1693
_cell_angle_alpha 90.00
_cell_angle_beta 90.00
_cell_angle_gamma 90.00
loop_
_atom_site_label
_atom_site_fract_x
_atom_site_fract_y
_atom_site_fract_z
Nd1 0.0000 0.0000 0.0000
Nd2 0.0000 0.0000 0.1913
Nd3 0.0000 0.0000 0.3807
Hg1 0.5000 0.5000 0.5000
Rh1 0.5000 0.5000 0.0968
Rh2 0.5000 0.5000 0.2907
```

Calculated values
Formation enthalpy at 0 K   -59 kJ/mol of atoms

=====

No. 6
The following is a DFT calculation (GGA-PBE) of an optimized crystal structure of Nd3HgRh.

Structure (CIF):
```
data_Nd3HgRh
_chemical_formula_sum 'Nd6 Hg2 Rh2'
_space_group_name_H-M_alt 'P -1'
_space_group_IT_number 2
_space_group_name_Hall '-P 1'
_cell_length_a 5.8246
_cell_length_b 6.7422
_cell_length_c 8.4589
_cell_angle_alpha 100.32
_cell_angle_beta 101.73
_cell_angle_gamma 113.89
loop_
_atom_site_label
_atom_site_fract_x
_atom_site_fract_y
_atom_site_fract_z
Nd1 0.0543 0.1934 0.3145
Nd2 0.2997 0.8270 0.1189
Nd3 0.3232 0.4588 0.7606
Hg1 0.3545 0.7483 0.4866
Rh1 0.2334 0.1850 0.9849
```

Calculated values
Formation enthalpy at 0 K   -46 kJ/mol of atoms
Offset from the most stable computed form   16.1 meV per atom

=====

No. 7
The following is a DFT calculation (GGA-PBE) of an optimized crystal structure of Nd4HgRh.

Structure (CIF):
```
data_Nd4HgRh
_chemical_formula_sum 'Nd64 Hg16 Rh16'
_space_group_name_H-M_alt 'F -4 3 m'
_space_group_IT_number 216
_space_group_name_Hall 'F -4 2 3'
_cell_length_a 14.0134
_cell_length_b 14.0134
_cell_length_c 14.0134
_cell_angle_alpha 90.00
_cell_angle_beta 90.00
_cell_angle_gamma 90.00
loop_
_atom_site_label
_atom_site_fract_x
_atom_site_fract_y
_atom_site_fract_z
Nd1 0.0000 0.0000 0.1877
Nd2 0.0593 0.2500 0.7500
Nd3 0.1004 0.1004 0.3996
Hg1 0.1662 0.1662 0.1662
Rh1 0.1078 0.1078 0.6078
```

Calculated values
Formation enthalpy at 0 K   -45 kJ/mol of atoms
Offset from the most stable computed form   0.0 meV per atom

=====

No. 8
The following is a DFT calculation (GGA-PBE) of an optimized crystal structure of Nd4HgRh2.

Structure (CIF):
```
data_Nd4HgRh2
_chemical_formula_sum 'Nd16 Hg4 Rh8'
_space_group_name_H-M_alt 'C 1 2 1'
_space_group_IT_number 5
_space_group_name_Hall 'C 2y'
_cell_length_a 11.2694
_cell_length_b 8.7635
_cell_length_c 9.4834
_cell_angle_alpha 90.00
_cell_angle_beta 126.45
_cell_angle_gamma 90.00
loop_
_atom_site_label
_atom_site_fract_x
_atom_site_fract_y
_atom_site_fract_z
Nd1 0.0674 0.0000 0.3632
Nd2 0.0759 0.4062 0.2304
Nd3 0.1546 0.6564 0.7309
Nd4 0.2042 0.7499 0.1372
Hg1 0.0000 0.0713 0.0000
Hg2 0.0000 0.3220 0.5000
Rh1 0.1667 0.6940 0.4283
Rh2 0.2388 0.4443 0.0719
```

Calculated values
Formation enthalpy at 0 K   -50 kJ/mol of atoms
Offset from the most stable computed form   0.0 meV per atom

=====

No. 9
The following is a DFT calculation (GGA-PBE) of an optimized crystal structure of Nd3Hg2Rh3.

Structure (CIF):
```
data_Nd3Hg2Rh3
_chemical_formula_sum 'Nd6 Hg4 Rh6'
_space_group_name_H-M_alt 'I m m m'
_space_group_IT_number 71
_space_group_name_Hall '-I 2 2'
_cell_length_a 3.6779
_cell_length_b 4.8700
_cell_length_c 20.0650
_cell_angle_alpha 90.00
_cell_angle_beta 90.00
_cell_angle_gamma 90.00
loop_
_atom_site_label
_atom_site_fract_x
_atom_site_fract_y
_atom_site_fract_z
Nd1 0.0000 0.0000 0.0000
Nd2 0.0000 0.5000 0.1263
Hg1 0.0000 0.0000 0.2331
Rh1 0.0000 0.0000 0.5000
Rh2 0.0000 0.5000 0.3819
```

Calculated values
Formation enthalpy at 0 K   -47 kJ/mol of atoms

=====

No. 10
The following is a DFT calculation (GGA-PBE) of an optimized crystal structure of Nd6Hg2Rh.

Structure (CIF):
```
data_Nd6Hg2Rh
_chemical_formula_sum 'Nd12 Hg4 Rh2'
_space_group_name_H-M_alt 'P 1 21/c 1'
_space_group_IT_number 14
_space_group_name_Hall '-P 2ybc'
_cell_length_a 7.1722
_cell_length_b 7.4950
_cell_length_c 12.6305
_cell_angle_alpha 90.00
_cell_angle_beta 122.35
_cell_angle_gamma 90.00
loop_
_atom_site_label
_atom_site_fract_x
_atom_site_fract_y
_atom_site_fract_z
Nd1 0.1346 0.0086 0.2538
Nd2 0.2445 0.6858 0.0530
Nd3 0.3645 0.2002 0.0510
Hg1 0.3042 0.0910 0.7604
Rh1 0.0000 0.0000 0.0000
```

Calculated values
Formation enthalpy at 0 K   -31 kJ/mol of atoms
Offset from the most stable computed form   73.9 meV per atom

=====

No. 11
The following is a DFT calculation (GGA-PBE) of an optimized crystal structure of Nd2HgSb3Rh4.

Structure (CIF):
```
data_Nd2HgSb3Rh4
_chemical_formula_sum 'Nd2 Hg1 Sb3 Rh4'
_space_group_name_H-M_alt 'P -4 m 2'
_space_group_IT_number 115
_space_group_name_Hall 'P -4 -2'
_cell_length_a 4.4410
_cell_length_b 4.4410
_cell_length_c 10.9509
_cell_angle_alpha 90.00
_cell_angle_beta 90.00
_cell_angle_gamma 90.00
loop_
_atom_site_label
_atom_site_fract_x
_atom_site_fract_y
_atom_site_fract_z
Nd1 0.0000 0.5000 0.2481
Hg1 0.5000 0.5000 0.0000
Sb1 0.0000 0.0000 0.0000
Sb2 0.0000 0.5000 0.6307
Rh1 0.0000 0.0000 0.5000
Rh2 0.0000 0.5000 0.8610
Rh3 0.5000 0.5000 0.5000
```

Calculated values
Formation energy without anion corrections   -692 meV per atom

=====

No. 12
The following is a DFT calculation (GGA-PBE) of an optimized crystal structure of SrNdHgRh.

Structure (CIF):
```
data_SrNdHgRh
_chemical_formula_sum 'Sr4 Nd4 Hg4 Rh4'
_space_group_name_H-M_alt 'F -4 3 m'
_space_group_IT_number 216
_space_group_name_Hall 'F -4 2 3'
_cell_length_a 7.4620
_cell_length_b 7.4620
_cell_length_c 7.4620
_cell_angle_alpha 90.00
_cell_angle_beta 90.00
_cell_angle_gamma 90.00
loop_
_atom_site_label
_atom_site_fract_x
_atom_site_fract_y
_atom_site_fract_z
Sr1 0.0000 0.0000 0.0000
Nd1 0.0000 0.0000 0.5000
Hg1 0.2500 0.2500 0.7500
Rh1 0.2500 0.2500 0.2500
```

Calculated values
Formation enthalpy at 0 K   -36 kJ/mol of atoms

=====

No. 13
The following is a DFT calculation (GGA-PBE) of an optimized crystal structure of NdThHgRh.

Structure (CIF):
```
data_NdThHgRh
_chemical_formula_sum 'Nd4 Th4 Hg4 Rh4'
_space_group_name_H-M_alt 'F -4 3 m'
_space_group_IT_number 216
_space_group_name_Hall 'F -4 2 3'
_cell_length_a 7.3890
_cell_length_b 7.3890
_cell_length_c 7.3890
_cell_angle_alpha 90.00
_cell_angle_beta 90.00
_cell_angle_gamma 90.00
loop_
_atom_site_label
_atom_site_fract_x
_atom_site_fract_y
_atom_site_fract_z
Nd1 0.0000 0.0000 0.0000
Th1 0.0000 0.0000 0.5000
Hg1 0.2500 0.2500 0.2500
Rh1 0.2500 0.2500 0.7500
```

Calculated values
Formation enthalpy at 0 K   -41 kJ/mol of atoms
Offset from the most stable computed form   132.4 meV per atom

=====

No. 14
The following is a DFT calculation (GGA-PBE) of an optimized crystal structure of NdThHgRh.

Structure (CIF):
```
data_NdThHgRh
_chemical_formula_sum 'Nd3 Th3 Hg3 Rh3'
_space_group_name_H-M_alt 'R 3 m'
_space_group_IT_number 160
_space_group_name_Hall 'R 3 -2"'
_cell_length_a 4.1028
_cell_length_b 4.1028
_cell_length_c 23.5319
_cell_angle_alpha 90.00
_cell_angle_beta 90.00
_cell_angle_gamma 120.00
loop_
_atom_site_label
_atom_site_fract_x
_atom_site_fract_y
_atom_site_fract_z
Nd1 0.0000 0.0000 0.0000
Th1 0.0000 0.0000 0.8029
Hg1 0.0000 0.0000 0.2345
Rh1 0.0000 0.0000 0.4067
```

Calculated values
Formation enthalpy at 0 K   -54 kJ/mol of atoms
Offset from the most stable computed form   0.0 meV per atom

=====

No. 15
The following is a DFT calculation (GGA-PBE) of an optimized crystal structure of NdYHgRh.

Structure (CIF):
```
data_NdYHgRh
_chemical_formula_sum 'Nd4 Y4 Hg4 Rh4'
_space_group_name_H-M_alt 'F -4 3 m'
_space_group_IT_number 216
_space_group_name_Hall 'F -4 2 3'
_cell_length_a 7.2754
_cell_length_b 7.2754
_cell_length_c 7.2754
_cell_angle_alpha 90.00
_cell_angle_beta 90.00
_cell_angle_gamma 90.00
loop_
_atom_site_label
_atom_site_fract_x
_atom_site_fract_y
_atom_site_fract_z
Nd1 0.0000 0.0000 0.0000
Y1 0.0000 0.0000 0.5000
Hg1 0.2500 0.2500 0.2500
Rh1 0.2500 0.2500 0.7500
```

Calculated values
Formation enthalpy at 0 K   -54 kJ/mol of atoms

=====

No. 16
The following is a DFT calculation (GGA-PBE) of an optimized crystal structure of Nd3ZnHg2Rh3.

Structure (CIF):
```
data_Nd3ZnHg2Rh3
_chemical_formula_sum 'Nd3 Zn1 Hg2 Rh3'
_space_group_name_H-M_alt 'P -6 2 m'
_space_group_IT_number 189
_space_group_name_Hall 'P -6 -2'
_cell_length_a 7.7154
_cell_length_b 7.7154
_cell_length_c 3.8208
_cell_angle_alpha 90.00
_cell_angle_beta 90.00
_cell_angle_gamma 120.00
loop_
_atom_site_label
_atom_site_fract_x
_atom_site_fract_y
_atom_site_fract_z
Nd1 0.0000 0.6343 0.0000
Zn1 0.0000 0.0000 0.0000
Hg1 0.3333 0.6667 0.5000
Rh1 0.0000 0.2310 0.5000
```

Calculated values
Formation enthalpy at 0 K   -46 kJ/mol of atoms

=====

No. 17
The following is a DFT calculation (GGA-PBE) of an optimized crystal structure of Nd8Hg2Ru3.

Structure (CIF):
```
data_Nd8Hg2Ru3
_chemical_formula_sum 'Nd16 Hg4 Ru6'
_space_group_name_H-M_alt 'C m m m'
_space_group_IT_number 65
_space_group_name_Hall '-C 2 2'
_cell_length_a 10.0939
_cell_length_b 14.9496
_cell_length_c 5.0527
_cell_angle_alpha 90.00
_cell_angle_beta 90.00
_cell_angle_gamma 90.00
loop_
_atom_site_label
_atom_site_fract_x
_atom_site_fract_y
_atom_site_fract_z
Nd1 0.0000 0.1113 0.0000
Nd2 0.0000 0.3860 0.0000
Nd3 0.2465 0.3884 0.5000
Hg1 0.0000 0.2439 0.5000
Ru1 0.0000 0.5000 0.5000
Ru2 0.2501 0.0000 0.0000
```

Calculated values
Formation enthalpy at 0 K   -18 kJ/mol of atoms

=====

No. 18
The following is a DFT calculation (GGA-PBE) of an optimized crystal structure of Nd3Hg2Ru.

Structure (CIF):
```
data_Nd3Hg2Ru
_chemical_formula_sum 'Nd6 Hg4 Ru2'
_space_group_name_H-M_alt 'P 1 2/m 1'
_space_group_IT_number 10
_space_group_name_Hall '-P 2y'
_cell_length_a 5.2478
_cell_length_b 7.6822
_cell_length_c 8.1846
_cell_angle_alpha 90.00
_cell_angle_beta 108.55
_cell_angle_gamma 90.00
loop_
_atom_site_label
_atom_site_fract_x
_atom_site_fract_y
_atom_site_fract_z
Nd1 0.0000 0.2334 0.0000
Nd2 0.3254 0.2252 0.6512
Hg1 0.1661 0.5000 0.3304
Hg2 0.5000 0.0000 0.0000
Hg3 0.5000 0.5000 0.0000
Ru1 0.1634 0.0000 0.3281
```

Calculated values
Formation enthalpy at 0 K   -35 kJ/mol of atoms
Offset from the most stable computed form   0.0 meV per atom

=====

No. 19
The following is a DFT calculation (GGA-PBE) of an optimized crystal structure of Nd4HgRu2.

Structure (CIF):
```
data_Nd4HgRu2
_chemical_formula_sum 'Nd8 Hg2 Ru4'
_space_group_name_H-M_alt 'P 1'
_space_group_IT_number 1
_space_group_name_Hall 'P 1'
_cell_length_a 7.1873
_cell_length_b 7.4203
_cell_length_c 8.1435
_cell_angle_alpha 102.16
_cell_angle_beta 107.52
_cell_angle_gamma 106.29
loop_
_atom_site_label
_atom_site_fract_x
_atom_site_fract_y
_atom_site_fract_z
Nd1 0.0000 0.0000 0.0000
Nd2 0.0028 0.3866 0.3284
Nd3 0.0366 0.8889 0.3947
Nd4 0.1572 0.3051 0.7697
Nd5 0.4279 0.7612 0.7313
Nd6 0.5362 0.5325 0.3170
Nd7 0.6039 0.0792 0.4361
Nd8 0.7174 0.4557 0.8619
Hg1 0.2251 0.6964 0.0788
Hg2 0.5091 0.1372 0.0393
Ru1 0.3492 0.3072 0.5134
Ru2 0.6587 0.8089 0.0973
Ru3 0.8225 0.8764 0.6346
Ru4 0.9339 0.5640 0.6252
```

Calculated values
Formation enthalpy at 0 K   -19 kJ/mol of atoms

=====

No. 20
The following is a DFT calculation (GGA-PBE) of an optimized crystal structure of Nd4Hg2Ru.

Structure (CIF):
```
data_Nd4Hg2Ru
_chemical_formula_sum 'Nd8 Hg4 Ru2'
_space_group_name_H-M_alt 'I 4/m m m'
_space_group_IT_number 139
_space_group_name_Hall '-I 4 2'
_cell_length_a 5.3760
_cell_length_b 5.3760
_cell_length_c 15.5626
_cell_angle_alpha 90.00
_cell_angle_beta 90.00
_cell_angle_gamma 90.00
loop_
_atom_site_label
_atom_site_fract_x
_atom_site_fract_y
_atom_site_fract_z
Nd1 0.0000 0.0000 0.1820
Nd2 0.0000 0.5000 0.0000
Hg1 0.0000 0.0000 0.3792
Ru1 0.0000 0.0000 0.0000
```

Calculated values
Formation enthalpy at 0 K   -17 kJ/mol of atoms
Offset from the most stable computed form   164.2 meV per atom